Compound: CrCd2Ru
Source: Alexandria via LeMat-Bulk
Functional: PBE
Structure: relaxed

Calculated values
For the formation enthalpy at 0 K, the calculation gives 535 meV per atom. The density of states at the Fermi level is 3.3 states/eV per cell. For the total moment, the calculation gives 3.20 μB/f.u.

POSCAR file:
```
CrCd2Ru
1.0
1.475 0.852 9.366
-1.475 0.852 9.366
0.000 -1.703 9.366
Cr Cd Ru
1 2 1
direct
0.000 0.000 0.000
0.249 0.249 0.249
0.751 0.751 0.751
0.500 0.500 0.500
```